Model w:
! Li2CuNi (PBEsol, optimized geometry); values from VASP
&SYSTEM
  ibrav = 0, nat = 4, ntyp = 3
/
ATOMIC_SPECIES
Cu 63.55 Cu.upf
Li 6.94 Li.upf
Ni 58.69 Ni.upf
ATOMIC_POSITIONS crystal
Cu 0.500 0.000 0.000
Li 0.250 0.255 0.501
Li 0.750 0.745 0.499
Ni 0.000 0.500 0.000
CELL_PARAMETERS angstrom
-0.113 0.216 2.535
1.631 -3.947 0.408
3.622 2.229 -1.308
! Space group: C2/m
! Fermi-level density of states (states/eV per atom): 0.52

Model x:
! Li2CuNi (PBEsol, optimized geometry); values from VASP
&SYSTEM
  ibrav = 0, nat = 4, ntyp = 3
/
ATOMIC_SPECIES
Cu 63.55 Cu.upf
Li 6.94 Li.upf
Ni 58.69 Ni.upf
ATOMIC_POSITIONS crystal
Cu 0.500 0.500 0.728
Li 0.000 0.000 0.967
Li 0.500 0.500 0.289
Ni 0.000 0.000 0.516
CELL_PARAMETERS angstrom
-0.995 -0.400 -2.293
0.801 -2.400 0.072
-6.808 -2.171 3.333
! Space group: P4mm
! Fermi-level density of states (states/eV per atom): 0.69

From most stable to least stable, the computed energies give model w, model x.